Entry 1:
VASP calculation (PBE) on a relaxed Sr3CaTl2 crystal.

Calculated values
ΔH_f (0 K) = -1.69 eV per formula unit
Final energy = -0.1649 Ry per atom

Cell: 4.1336 4.1336 13.6407 Å, 90.00 90.00 90.00°
Space group P4/mmm (No. 123)
Inequivalent atoms, fractional coordinates:
Sr 0.0000 0.0000 0.0000 x1
Sr 0.0000 0.0000 0.2915 x2
Ca 0.5000 0.5000 0.5000 x1
Tl 0.5000 0.5000 0.1511 x2

***

Entry 2:
VASP calculation (PBE) on a relaxed Y6Cd2Au crystal.

Calculated values
ΔH_f (0 K) = -2.07 eV per formula unit
Final energy = -0.3753 Ry per atom

Cell: 6.2771 9.1636 10.3931 Å, 90.00 118.98 90.00°
Space group P2_1/c (No. 14)
Inequivalent atoms, fractional coordinates:
Y 0.0588 0.1768 0.4597 x4
Y 0.3530 0.6792 0.4448 x4
Y 0.4054 0.0317 0.2969 x4
Cd 0.1464 0.1110 0.7618 x4
Au 0.0000 0.0000 0.0000 x2

***

Entry 3:
VASP calculation (PBE) on a relaxed Tb7Pd2Pt2 crystal.

Calculated values
ΔH_f (0 K) = -6.66 eV per formula unit
Final energy = -0.4112 Ry per atom

Cell: 8.2936 10.6189 7.0331 Å, 90.00 90.00 90.00°
Space group Cmmm (No. 65)
Inequivalent atoms, fractional coordinates:
Tb 0.0000 0.0000 0.0000 x2
Tb 0.0000 0.5000 0.2571 x4
Tb 0.2500 0.2500 0.2603 x8
Pd 0.2181 0.0000 0.5000 x4
Pt 0.0000 0.2809 0.0000 x4

***

Entry 4:
VASP calculation (PBE) on a relaxed Ac3PdI3 crystal.

Calculated values
Formation energy from raw total energies = -1.130 eV per atom
Final energy = -0.3158 Ry per atom

Cell: 10.0308 4.3946 13.4476 Å, 90.00 91.77 90.00°
Space group P2_1/m (No. 11)
Inequivalent atoms, fractional coordinates:
Ac 0.0872 0.2500 0.3875 x2
Ac 0.1303 0.2500 0.8505 x2
Ac 0.3246 0.7500 0.6257 x2
Pd 0.1214 0.2500 0.6241 x2
I 0.1314 0.2500 0.1131 x2
I 0.3840 0.7500 0.3695 x2
I 0.3904 0.7500 0.8792 x2

***

Entry 5:
VASP calculation (PBE) on a relaxed Pm2Y5Ho6 crystal.

Calculated values
ΔH_f (0 K) = 1.31 eV per formula unit
Final energy = -0.3843 Ry per atom

Cell: 11.6573 20.2638 3.5908 Å, 90.00 90.00 90.00°
Space group Pbam (No. 55)
Inequivalent atoms, fractional coordinates:
Pm 0.1688 0.2148 0.0000 x4
Y 0.0000 0.5000 0.5000 x2
Y 0.0905 0.7775 0.5000 x4
Y 0.1989 0.0525 0.5000 x4
Ho 0.0612 0.9223 0.0000 x4
Ho 0.0792 0.6344 0.0000 x4
Ho 0.1762 0.3701 0.5000 x4

***

Entry 6:
VASP calculation (PBE) on a relaxed K2TcPb2 crystal.

Calculated values
ΔH_f (0 K) = 4.61 eV per formula unit
Final energy = -0.2259 Ry per atom

Cell: 3.9372 3.9372 17.0304 Å, 90.00 90.00 90.00°
Space group I4/mmm (No. 139)
Inequivalent atoms, fractional coordinates:
K 0.0000 0.5000 0.2500 x4
Tc 0.0000 0.0000 0.0000 x2
Pb 0.0000 0.0000 0.4130 x4

***

Entry 7:
VASP calculation (PBE) on a relaxed Al3PdO crystal.

Calculated values
Formation energy from raw total energies = 0.080 eV per atom
Final energy = -0.3083 Ry per atom

Cell: 4.6609 4.6609 4.6609 Å, 90.00 90.00 90.00°
Space group Pm-3m (No. 221)
Inequivalent atoms, fractional coordinates:
Al 0.0000 0.0000 0.5000 x3
Pd 0.0000 0.0000 0.0000 x1
O 0.5000 0.5000 0.5000 x1

***

Entry 8:
VASP calculation (PBE) on a relaxed Na2Cd2OsO6 crystal.

Calculated values
Formation energy from raw total energies = -1.166 eV per atom
Final energy = -0.3894 Ry per atom

Cell: 5.9331 9.6903 5.7878 Å, 90.00 109.95 90.00°
Space group C2/m (No. 12)
Inequivalent atoms, fractional coordinates:
Na 0.0000 0.1707 0.0000 x4
Cd 0.0000 0.3409 0.5000 x4
Os 0.0000 0.0000 0.5000 x2
O 0.2024 0.1444 0.7011 x8
O 0.2031 0.0000 0.2974 x4

***

Entry 9:
VASP calculation (PBE) on a relaxed AgSe crystal.

Calculated values
Formation energy from raw total energies = 0.086 eV per atom
Final energy = -0.2265 Ry per atom

Cell: 2.9454 4.4675 6.8798 Å, 90.00 102.27 90.00°
Space group P2_1/m (No. 11)
Inequivalent atoms, fractional coordinates:
Ag 0.2054 0.2500 0.4086 x2
Se 0.0985 0.7500 0.1945 x2

***

Entry 10:
VASP calculation (PBE) on a relaxed KZnHg2Pd crystal.

Calculated values
ΔH_f (0 K) = -1.06 eV per formula unit
Final energy = -0.1357 Ry per atom

Cell: 5.3746 5.3746 4.9500 Å, 90.00 90.00 90.00°
Space group P4/mmm (No. 123)
Inequivalent atoms, fractional coordinates:
K 0.0000 0.0000 0.0000 x1
Zn 0.5000 0.5000 0.0000 x1
Hg 0.0000 0.5000 0.5000 x2
Pd 0.5000 0.5000 0.5000 x1

***

Entry 11:
VASP calculation (PBE) on a relaxed Re2HgPI crystal.

Calculated values
Formation energy from raw total energies = 1.393 eV per atom
Final energy = -0.3704 Ry per atom

Cell: 4.5673 4.5673 5.0480 Å, 90.00 90.00 90.00°
Space group P4/mmm (No. 123)
Inequivalent atoms, fractional coordinates:
Re 0.0000 0.5000 0.0000 x2
Hg 0.0000 0.0000 0.5000 x1
P 0.0000 0.0000 0.0000 x1
I 0.5000 0.5000 0.5000 x1

***

Entry 12:
VASP calculation (PBE) on a relaxed SrYRh4 crystal.

Calculated values
ΔH_f (0 K) = -2.94 eV per formula unit
Final energy = -0.4960 Ry per atom

Cell: 7.6514 7.6514 7.6514 Å, 90.00 90.00 90.00°
Space group F-43m (No. 216)
Inequivalent atoms, fractional coordinates:
Sr 0.0000 0.0000 0.0000 x4
Y 0.2500 0.2500 0.7500 x4
Rh 0.1247 0.1247 0.3753 x16